A relaxed structure of Rb5Fe3O6, computed with PBE+U.

```
28
Lattice="-4.414 4.414 7.525 4.414 -4.414 7.525 4.414 4.414 -7.525" Properties=species:S:1:pos:R:3 pbc="T T T"
Rb 0.000 0.000 0.000
Rb 2.207 2.489 -1.881
Rb 0.000 0.000 3.668
Rb 6.339 2.207 1.881
Rb 0.000 4.414 0.094
Rb 2.207 1.925 5.644
Rb 0.000 4.414 3.762
Rb 0.000 0.000 11.381
Rb -1.925 2.207 9.406
Rb 0.000 4.414 7.431
Fe 6.621 2.133 -1.881
Fe 4.414 0.000 3.762
Fe 2.133 2.207 1.881
Fe 0.000 0.000 7.525
Fe -2.207 2.281 5.644
Fe 2.281 2.207 9.406
O 5.818 -0.647 2.635
O 3.767 -1.405 4.889
O 3.009 0.647 2.635
O 5.061 3.009 -1.127
O 0.253 2.207 1.881
O 5.061 1.405 4.889
O 3.009 3.767 1.127
O -0.647 1.405 6.398
O 1.405 0.647 8.652
O -2.207 4.161 5.644
O -0.253 6.621 1.881
O 2.207 4.667 5.644
```

Summary:
Density of states at the Fermi level   0.000 states/eV/cell
SG   I-42d (122)
Uncorrected energy   -0.3691 Ry/atom